No. 1
Compound: ScCoNi
Source: Alexandria
Functional: PBE
Structure: relaxed

```
3
Lattice="4.092 0.000 0.000 2.046 3.544 0.000 2.046 1.181 3.341" Properties=species:S:1:pos:R:3 pbc="T T T"
Co 0.000 0.000 0.000
Ni 4.092 2.362 1.670
Sc 6.138 3.544 2.506
```

Computed properties:
D(E_F)	3.44	states/eV per cell

---

No. 2
Compound: ScCo2Ni3
Source: Alexandria
Functional: PBE
Structure: relaxed

```
12
Lattice="5.145 0.000 0.000 2.573 4.456 0.000 2.573 1.485 6.395" Properties=species:S:1:pos:R:3 pbc="T T T"
Sc 7.718 4.456 4.168
Sc 2.573 1.485 2.227
Co 0.000 0.000 0.000
Co 1.286 2.228 0.000
Co 3.859 2.228 0.000
Co 2.573 0.000 0.000
Ni 3.902 3.688 2.041
Ni 5.145 1.536 2.041
Ni 6.388 3.688 2.041
Ni 5.145 4.405 4.354
Ni 6.388 2.253 4.354
Ni 3.902 2.253 4.354
```

Computed properties:
D(E_F)	14.03	states/eV per cell

---

No. 3
Compound: Sc2CoNi2
Source: Alexandria
Functional: PBE
Structure: relaxed

```
10
Lattice="6.354 0.000 0.000 0.000 6.354 0.000 0.000 0.000 3.754" Properties=species:S:1:pos:R:3 pbc="T T T"
Sc 1.143 4.320 1.877
Sc 4.320 5.212 1.877
Sc 5.212 2.035 1.877
Sc 2.035 1.143 1.877
Ni 2.351 5.528 0.000
Ni 5.528 4.003 0.000
Ni 4.003 0.826 0.000
Ni 0.826 2.351 0.000
Co 0.000 0.000 0.000
Co 3.177 3.177 0.000
```

Computed properties:
D(E_F)	11.09	states/eV per cell

---

No. 4
Compound: Sc2CoNi3
Source: Alexandria
Functional: PBE
Structure: relaxed

```
6
Lattice="4.304 -0.129 -2.261 -2.737 4.015 -0.206 -0.176 0.132 4.887" Properties=species:S:1:pos:R:3 pbc="T T T"
Sc 2.176 1.422 -1.169
Sc -0.785 2.596 3.589
Co 0.000 0.000 0.000
Ni 0.695 2.009 1.210
Ni -0.088 0.066 2.443
Ni 2.064 0.001 1.313
```

Computed properties:
energy above the lowest structure with this stoichiometry	0	meV/atom
D(E_F)	6.78	states/eV per cell

---

No. 5
Compound: Sc3CoNi8
Source: Alexandria
Functional: PBE
Structure: relaxed

```
12
Lattice="-1.350 -2.128 -4.102 3.313 -1.916 -2.922 0.011 -8.231 1.442" Properties=species:S:1:pos:R:3 pbc="T T T"
Sc 0.749 -8.678 -1.395
Sc 1.943 -4.251 -6.911
Sc 1.000 -5.991 -2.872
Co 1.711 -6.733 -5.547
Ni 0.178 -4.378 -4.861
Ni 2.522 -8.358 -3.562
Ni 0.858 -3.306 -2.795
Ni 1.849 -9.418 -5.607
Ni 0.374 -4.340 -0.697
Ni 1.360 -10.484 -3.485
Ni 2.527 -4.271 -4.267
Ni 0.198 -8.464 -4.151
```

Computed properties:
D(E_F)	15.33	states/eV per cell

---

No. 6
Compound: ScCoNi2
Source: Alexandria
Functional: PBE
Structure: relaxed

```
16
Lattice="-0.174 4.402 0.365 -1.518 -0.421 4.361 10.798 0.113 3.770" Properties=species:S:1:pos:R:3 pbc="T T T"
Sc 6.928 -0.029 3.641
Sc -0.205 1.896 3.809
Sc 2.352 -0.279 4.489
Sc 9.311 2.198 4.686
Co 6.032 1.961 5.987
Co 3.074 2.133 2.508
Co 4.475 -0.054 2.785
Co 4.805 -0.253 5.346
Ni 0.000 0.000 0.000
Ni 4.553 2.047 4.248
Ni 7.923 0.860 6.539
Ni 1.183 3.234 1.957
Ni 7.835 3.101 6.724
Ni 1.271 0.993 1.771
Ni -0.759 -0.211 2.181
Ni 5.312 2.258 2.067
```

Computed properties:
D(E_F)	20.82	states/eV per cell

---

No. 7
Compound: ScCoNi
Source: Alexandria
Functional: PBE
Structure: relaxed

```
6
Lattice="-4.246 -2.407 -0.459 2.539 -0.069 4.193 0.056 4.898 0.195" Properties=species:S:1:pos:R:3 pbc="T T T"
Sc -0.701 3.664 0.569
Sc -0.950 -1.241 3.360
Co 1.298 2.415 2.194
Co -2.095 1.246 -0.132
Ni -0.825 1.211 1.965
Ni 1.269 -0.034 2.096
```

Computed properties:
D(E_F)	5.16	states/eV per cell

---

No. 8
Compound: ScCo2Ni
Source: Alexandria
Functional: PBE
Structure: relaxed

```
4
Lattice="3.032 0.000 0.000 0.000 3.167 0.000 0.000 0.000 5.569" Properties=species:S:1:pos:R:3 pbc="T T T"
Co 0.000 0.000 0.232
Co 1.516 1.583 1.332
Ni 0.000 0.000 2.654
Sc 1.516 1.583 4.136
```

Computed properties:
D(E_F)	5.54	states/eV per cell

---

No. 9
Compound: ScCoNi2
Source: Alexandria
Functional: PBE
Structure: relaxed

```
4
Lattice="4.186 0.000 0.000 2.093 3.625 0.000 2.093 1.208 3.418" Properties=species:S:1:pos:R:3 pbc="T T T"
Co 4.186 2.417 1.709
Ni 0.000 0.000 0.000
Ni 6.279 3.625 2.563
Sc 2.093 1.208 0.854
```

Computed properties:
D(E_F)	7.07	states/eV per cell

---

No. 10
Compound: ScCo2Ni
Source: Alexandria
Functional: PBE
Structure: relaxed

```
4
Lattice="-2.522 -3.210 -0.896 -2.025 -1.987 3.069 -4.140 0.423 0.389" Properties=species:S:1:pos:R:3 pbc="T T T"
Sc 0.000 0.000 0.000
Ni -4.343 -2.387 1.281
Co -2.172 -1.193 0.640
Co -6.515 -3.580 1.921
```

Computed properties:
D(E_F)	6.38	states/eV per cell

---

No. 11
Compound: ScCoNi
Source: Alexandria
Functional: PBE
Structure: relaxed

```
3
Lattice="4.892 0.008 -0.046 2.893 3.945 0.046 -3.867 -2.025 2.207" Properties=species:S:1:pos:R:3 pbc="T T T"
Co 7.664 3.892 0.000
Ni 2.720 1.381 0.000
Sc 5.186 2.633 0.000
```

Computed properties:
D(E_F)	5.13	states/eV per cell

---

No. 12
Compound: ScCoNi2
Source: Alexandria
Functional: PBE
Structure: relaxed

```
4
Lattice="8.527 0.018 0.010 8.092 2.688 0.010 8.092 1.317 2.343" Properties=species:S:1:pos:R:3 pbc="T T T"
Co 6.178 1.006 0.591
Ni 24.573 4.000 2.350
Ni 12.493 2.034 1.195
Sc 18.533 3.017 1.773
```

Computed properties:
D(E_F)	6.01	states/eV per cell

---

Number 1: ΔH_f (0 K) 0.46 eV per atom. Number 2: ΔH_f (0 K) -0.16 eV per atom. Number 3: ΔH_f (0 K) -0.29 eV per atom. Number 4: ΔH_f (0 K) -0.46 eV per atom. Number 5: ΔH_f (0 K) -0.37 eV per atom. Number 6: ΔH_f (0 K) -0.06 eV per atom. Number 7: ΔH_f (0 K) -0.42 eV per atom. Number 8: ΔH_f (0 K) -0.09 eV per atom. Number 9: ΔH_f (0 K) -0.14 eV per atom. Number 10: ΔH_f (0 K) -0.04 eV per atom. Number 11: ΔH_f (0 K) -0.13 eV per atom. Number 12: ΔH_f (0 K) 0.21 eV per atom.